Material: Li2NiP2O7
Method: DFT, PBE+U
State: relaxed

extended XYZ file:
```
48
Lattice="13.4745 0.0000 0.0000 0.0000 5.0355 0.0024 0.0000 4.6873 8.0258" Properties=species:S:1:pos:R:3 pbc="T T T"
O 7.2060 5.4212 2.5805
P 4.3389 5.8920 7.7399
O 12.4710 4.0442 1.7601
O 13.0057 7.7648 6.5934
O 10.6510 4.7002 4.4240
P 11.0762 6.1745 4.3012
O 9.3324 9.0505 6.8836
O 9.5607 2.3566 0.4111
O 2.5952 3.0160 5.1575
O 5.9141 5.8564 7.4093
P 13.0905 6.2631 6.2305
Li 2.6499 6.0325 5.3347
Li 10.8246 3.6903 2.6935
O 5.7338 3.3349 2.2552
O 9.8210 4.7373 1.3217
Li 1.3654 8.8771 6.9419
O 1.4275 4.3072 1.0237
O 1.0034 5.6786 6.2681
Li 8.1027 3.1893 5.0992
O 12.0470 5.4156 7.0045
O 3.9138 7.3662 7.6171
O 10.3907 7.0809 5.3346
O 2.8234 5.0226 3.6042
O 8.1647 3.0720 2.9916
O 3.0838 2.6419 2.6936
Ni 2.1990 6.0120 1.8998
O 3.6535 4.9855 6.7065
P 9.1355 3.8308 0.2883
O 5.3098 6.6508 5.0366
P 2.3983 3.5483 3.7270
P 0.3840 3.4597 1.7978
Ni 11.2755 3.7108 6.1285
O 7.5604 3.8664 0.6190
O 0.4688 1.9580 1.4348
Li 9.3872 6.0339 6.7064
P 7.1212 3.9194 2.2175
Li 12.1091 0.8457 1.0863
O 12.6513 6.2100 4.6319
Ni 4.5382 8.3556 5.9127
Ni 8.9363 1.3671 2.1155
O 4.1421 0.6723 1.1446
O 0.8232 3.5128 3.3964
O 10.8793 6.7068 2.8707
Li 5.3718 6.5335 2.9290
Li 4.0873 3.6889 1.3218
O 7.7407 6.3879 5.7730
O 6.2684 4.3016 5.4477
P 6.3532 5.8034 5.8107
```

Values from the calculation:
relative energy among the computed polymorphs	19	meV per atom
SG	P2_1/c, No. 14